NiAsSBr2: optimized geometry, PBE.

Output
**Energy relative to the lowest polymorph listed for this composition**: 0 meV per atom
**Electronic total energy**: -15.2 eV per cell
**Raw formation energy**: 0.54 eV per atom
**Crystal system**: tetragonal
**SG**: P4/mmm

The structure in POSCAR format:
```
NiAsSBr2
1.0
4.748 0.000 0.000
0.000 4.748 0.000
0.000 0.000 4.807
Ni As S Br
1 1 1 2
Direct
0.000 0.000 0.000
0.000 0.000 0.500
0.500 0.500 0.500
0.000 0.500 0.000
0.500 0.000 0.000
```